Record 1
This record from Alexandria via LeMat-Bulk describes crystalline CaZn8Rh2 at its relaxed geometry. The functional is PBE.

a b c (Å): 5.468 5.468 8.326
angles (deg): 90.00 90.00 90.00
Fractional positions:
Ca 0.000 0.000 0.000
Zn 0.250 0.250 0.306
Zn 0.250 0.250 0.694
Zn 0.250 0.750 0.306
Zn 0.250 0.750 0.694
Zn 0.750 0.250 0.306
Zn 0.750 0.250 0.694
Zn 0.750 0.750 0.306
Zn 0.750 0.750 0.694
Rh 0.000 0.500 0.500
Rh 0.500 0.000 0.500

**Volume**: 22.63 A^3/atom
**ΔH_f (0 K)**: 1.445 kcal/mol of atoms
**SG**: P4/mmm

Record 2
This record from Alexandria via LeMat-Bulk describes crystalline Sn3BrF5 at its relaxed geometry. The functional is PBE.

a b c (Å): 4.414 12.799 13.652
angles (deg): 90.00 107.97 90.00
Fractional positions:
Sn 0.197 0.129 0.344
Sn 0.197 0.371 0.844
Sn 0.206 0.159 0.631
Sn 0.206 0.341 0.131
Sn 0.208 0.602 0.601
Sn 0.208 0.898 0.101
Sn 0.792 0.102 0.899
Sn 0.792 0.398 0.399
Sn 0.794 0.659 0.869
Sn 0.794 0.841 0.369
Sn 0.803 0.629 0.156
Sn 0.803 0.871 0.656
Br 0.395 0.620 0.380
Br 0.395 0.880 0.880
Br 0.605 0.120 0.120
Br 0.605 0.380 0.620
F 0.117 0.509 0.124
F 0.117 0.991 0.624
F 0.138 0.724 0.103
F 0.138 0.776 0.603
F 0.310 0.160 0.844
F 0.310 0.340 0.344
F 0.323 0.604 0.773
F 0.323 0.896 0.273
F 0.426 0.123 0.511
F 0.426 0.377 0.011
F 0.574 0.623 0.989
F 0.574 0.877 0.489
F 0.677 0.104 0.727
F 0.677 0.396 0.227
F 0.690 0.660 0.656
F 0.690 0.840 0.156
F 0.862 0.224 0.397
F 0.862 0.276 0.897
F 0.883 0.009 0.376
F 0.883 0.491 0.876

**Volume**: 20.38 A^3/atom
**SG**: P2_1/c
**Formation energy from raw total energies**: -18.31 eV per formula unit

Record 3
This record from Alexandria via LeMat-Bulk describes crystalline Rb3As5Br12 at its relaxed geometry. The functional is PBE.

a b c (Å): 16.080 16.080 16.080
angles (deg): 109.47 109.47 109.47
Fractional positions:
Rb 0.125 0.250 0.375
Rb 0.125 0.375 0.750
Rb 0.250 0.375 0.125
Rb 0.250 0.875 0.625
Rb 0.375 0.125 0.250
Rb 0.375 0.750 0.125
Rb 0.625 0.250 0.875
Rb 0.625 0.875 0.750
Rb 0.750 0.125 0.375
Rb 0.750 0.625 0.875
Rb 0.875 0.625 0.250
Rb 0.875 0.750 0.625
As 0.000 0.000 0.000
As 0.000 0.000 0.500
As 0.000 0.500 0.000
As 0.000 0.500 0.500
As 0.125 0.750 0.875
As 0.125 0.875 0.250
As 0.250 0.125 0.875
As 0.250 0.625 0.375
As 0.375 0.250 0.625
As 0.375 0.625 0.750
As 0.500 0.000 0.000
As 0.500 0.000 0.500
As 0.500 0.500 0.000
As 0.500 0.500 0.500
As 0.625 0.375 0.250
As 0.625 0.750 0.375
As 0.750 0.375 0.625
As 0.750 0.875 0.125
As 0.875 0.125 0.750
As 0.875 0.250 0.125
Br 0.004 0.681 0.106
Br 0.004 0.823 0.898
Br 0.075 0.677 0.681
Br 0.075 0.898 0.394
Br 0.102 0.606 0.925
Br 0.102 0.996 0.177
Br 0.106 0.004 0.681
Br 0.106 0.602 0.425
Br 0.177 0.102 0.996
Br 0.177 0.575 0.181
Br 0.181 0.177 0.575
Br 0.181 0.504 0.606
Br 0.319 0.894 0.996
Br 0.319 0.925 0.323
Br 0.323 0.319 0.925
Br 0.323 0.504 0.398
Br 0.394 0.075 0.898
Br 0.394 0.819 0.496
Br 0.398 0.323 0.504
Br 0.398 0.575 0.894
Br 0.425 0.106 0.602
Br 0.425 0.819 0.823
Br 0.496 0.394 0.819
Br 0.496 0.602 0.677
Br 0.504 0.398 0.323
Br 0.504 0.606 0.181
Br 0.575 0.181 0.177
Br 0.575 0.894 0.398
Br 0.602 0.425 0.106
Br 0.602 0.677 0.496
Br 0.606 0.181 0.504
Br 0.606 0.925 0.102
Br 0.677 0.496 0.602
Br 0.677 0.681 0.075
Br 0.681 0.075 0.677
Br 0.681 0.106 0.004
Br 0.819 0.496 0.394
Br 0.819 0.823 0.425
Br 0.823 0.425 0.819
Br 0.823 0.898 0.004
Br 0.894 0.398 0.575
Br 0.894 0.996 0.319
Br 0.898 0.004 0.823
Br 0.898 0.394 0.075
Br 0.925 0.102 0.606
Br 0.925 0.323 0.319
Br 0.996 0.177 0.102
Br 0.996 0.319 0.894

**Volume**: 40.01 A^3/atom
**SG**: Ia-3d
**Formation energy from raw total energies**: -9.82 eV per formula unit

Record 4
This record from Alexandria via LeMat-Bulk describes crystalline Tl2ZnN at its relaxed geometry. The functional is PBE.

a b c (Å): 6.539 6.539 6.539
angles (deg): 121.37 121.37 87.65
Fractional positions:
Tl 0.062 0.625 0.937
Tl 0.375 0.312 0.437
Tl 0.688 0.125 0.063
Tl 0.875 0.938 0.563
Zn 0.250 0.750 0.500
Zn 0.500 0.500 0.000
N 0.000 0.000 0.000
N 0.750 0.250 0.500

**Volume**: 24.18 A^3/atom
**SG**: I-42d
**Polymorph energy (0 for the lowest one)**: 0.0 kJ/mol of atoms
**Formation energy from raw total energies**: 2.66 eV per formula unit

Values for spin magnetization, μB/f.u., ordered as above
0.0; 0.0; 0.0; 0.0